Here is an optimized crystal structure of K3TiH from the Alexandria database. Energies are from GGA-PBE.

a = 5.673 Å, b = 5.673 Å, c = 5.673 Å
α = 90.00°, β = 90.00°, γ = 90.00°
Space group Pm-3m (No. 221)
Symmetry-distinct sites (fractional):
1 K 0.000 0.000 0.500 [3 per cell]
2 Ti 0.500 0.500 0.500 [1 per cell]
3 H 0.000 0.000 0.000 [1 per cell]

Summary:
Its relative energy among the computed polymorphs is 0.00 eV/f.u.